Entry 1:
# PBE LaCuPbSe2S, relaxed
data_LaCuPbSe2S
_chemical_formula_sum 'La4 Cu4 Pb4 Se8 S4'
_cell_length_a 4.122
_cell_length_b 13.468
_cell_length_c 10.868
_cell_angle_alpha 90.00
_cell_angle_beta 90.00
_cell_angle_gamma 90.00
_symmetry_space_group_name_H-M 'C m c m'
_symmetry_Int_Tables_number 63
_symmetry_space_group_name_Hall '-C 2c 2'
loop_
_atom_site_label
_atom_site_fract_x
_atom_site_fract_y
_atom_site_fract_z
La1 0.000 0.000 0.000
Cu1 0.000 0.472 0.250
Pb1 0.000 0.253 0.750
Se1 0.000 0.352 0.077
S1 0.000 0.069 0.250
# E = -29.9 eV/f.u.

Entry 2:
# PBE LaCuTe2PbSe, relaxed
data_LaCuTe2PbSe
_chemical_formula_sum 'La4 Cu4 Te8 Pb4 Se4'
_cell_length_a 4.316
_cell_length_b 14.525
_cell_length_c 11.150
_cell_angle_alpha 90.00
_cell_angle_beta 90.00
_cell_angle_gamma 90.00
_symmetry_space_group_name_H-M 'C m c m'
_symmetry_Int_Tables_number 63
_symmetry_space_group_name_Hall '-C 2c 2'
loop_
_atom_site_label
_atom_site_fract_x
_atom_site_fract_y
_atom_site_fract_z
La1 0.000 0.000 0.000
Cu1 0.000 0.472 0.250
Te1 0.000 0.348 0.074
Pb1 0.000 0.259 0.750
Se1 0.000 0.071 0.250
# E = -27.3 eV/f.u.

Entry 3:
# PBE LaCuTe3Pb, relaxed
data_LaCuTe3Pb
_chemical_formula_sum 'La4 Cu4 Te12 Pb4'
_cell_length_a 4.392
_cell_length_b 14.580
_cell_length_c 11.837
_cell_angle_alpha 90.00
_cell_angle_beta 90.00
_cell_angle_gamma 90.00
_symmetry_space_group_name_H-M 'C m c m'
_symmetry_Int_Tables_number 63
_symmetry_space_group_name_Hall '-C 2c 2'
loop_
_atom_site_label
_atom_site_fract_x
_atom_site_fract_y
_atom_site_fract_z
La1 0.000 0.000 0.000
Cu1 0.000 0.468 0.250
Te1 0.000 0.081 0.250
Te2 0.000 0.352 0.076
Pb1 0.000 0.239 0.750
# Excess energy over the best structure of this formula in the dataset = 0.0045 eV per atom

Entry 4:
# PBE LaCuTe3Pb, relaxed
data_LaCuTe3Pb
_chemical_formula_sum 'La4 Cu4 Te12 Pb4'
_cell_length_a 12.543
_cell_length_b 4.501
_cell_length_c 12.776
_cell_angle_alpha 90.00
_cell_angle_beta 90.00
_cell_angle_gamma 90.00
_symmetry_space_group_name_H-M 'P n m a'
_symmetry_Int_Tables_number 62
loop_
_symmetry_equiv_pos_as_xyz
'x,y,z'
'-x,-y,-z'
'-x+1/2,-y,z+1/2'
'x+1/2,y,-z+1/2'
'x+1/2,-y+1/2,-z+1/2'
'-x+1/2,y+1/2,z+1/2'
'-x,y+1/2,-z'
'x,-y+1/2,z'
loop_
_atom_site_label
_atom_site_fract_x
_atom_site_fract_y
_atom_site_fract_z
La1 0.029 0.250 0.188
Cu1 0.237 0.750 0.293
Te1 0.043 0.750 0.371
Te2 0.108 0.250 0.938
Te3 0.212 0.750 0.690
Pb1 0.196 0.250 0.485
# Excess energy over the best structure of this formula in the dataset = 0.0000 eV per atom

Entry 5:
# PBE LaCu6Pd6, relaxed
data_LaCu6Pd6
_chemical_formula_sum 'La2 Cu12 Pd12'
_cell_length_a 5.028
_cell_length_b 8.686
_cell_length_c 8.923
_cell_angle_alpha 90.00
_cell_angle_beta 90.00
_cell_angle_gamma 90.00
_symmetry_space_group_name_H-M 'I m m m'
_symmetry_Int_Tables_number 71
_symmetry_space_group_name_Hall '-I 2 2'
loop_
_atom_site_label
_atom_site_fract_x
_atom_site_fract_y
_atom_site_fract_z
La1 0.000 0.000 0.000
Cu1 0.000 0.500 0.261
Cu2 0.250 0.250 0.250
Pd1 0.000 0.000 0.348
Pd2 0.000 0.304 0.500
Pd3 0.000 0.344 0.000
# Energy of formation from the pure elements = -0.34 eV/atom

Entry 6:
# PBE LaCu4Pd8, relaxed
data_LaCu4Pd8
_chemical_formula_sum 'La2 Cu8 Pd16'
_cell_length_a 8.996
_cell_length_b 8.996
_cell_length_c 5.040
_cell_angle_alpha 90.00
_cell_angle_beta 90.00
_cell_angle_gamma 90.00
_symmetry_space_group_name_H-M 'I 4/m m m'
_symmetry_Int_Tables_number 139
_symmetry_space_group_name_Hall '-I 4 2'
loop_
_atom_site_label
_atom_site_fract_x
_atom_site_fract_y
_atom_site_fract_z
La1 0.000 0.000 0.000
Cu1 0.250 0.250 0.250
Pd1 0.000 0.220 0.500
Pd2 0.000 0.349 0.000
# Energy of formation from the pure elements = -0.34 eV/atom

Entry 7:
# PBE LaPr2Cu2Si4Pd2, relaxed
data_LaPr2Cu2Si4Pd2
_chemical_formula_sum 'La2 Pr4 Cu4 Si8 Pd4'
_cell_length_a 4.200
_cell_length_b 4.294
_cell_length_c 24.021
_cell_angle_alpha 90.00
_cell_angle_beta 90.00
_cell_angle_gamma 90.00
_symmetry_space_group_name_H-M 'I m m m'
_symmetry_Int_Tables_number 71
_symmetry_space_group_name_Hall '-I 2 2'
loop_
_atom_site_label
_atom_site_fract_x
_atom_site_fract_y
_atom_site_fract_z
La1 0.000 0.000 0.000
Pr1 0.000 0.500 0.353
Cu1 0.000 0.500 0.097
Si1 0.000 0.000 0.450
Si2 0.000 0.500 0.195
Pd1 0.000 0.000 0.249
# Excess energy over the best structure of this formula in the dataset = 0.0080 eV per atom

Entry 8:
# PBE LaPr2Cu2Si4Pd2, relaxed
data_LaPr2Cu2Si4Pd2
_chemical_formula_sum 'La2 Pr4 Cu4 Si8 Pd4'
_cell_length_a 4.198
_cell_length_b 4.243
_cell_length_c 24.343
_cell_angle_alpha 90.00
_cell_angle_beta 90.00
_cell_angle_gamma 90.00
_symmetry_space_group_name_H-M 'I m m m'
_symmetry_Int_Tables_number 71
_symmetry_space_group_name_Hall '-I 2 2'
loop_
_atom_site_label
_atom_site_fract_x
_atom_site_fract_y
_atom_site_fract_z
La1 0.000 0.000 0.000
Pr1 0.000 0.500 0.153
Cu1 0.000 0.000 0.249
Si1 0.000 0.000 0.451
Si2 0.000 0.500 0.302
Pd1 0.000 0.500 0.402
# Excess energy over the best structure of this formula in the dataset = 0.0000 eV per atom